1.
Compound: TaOsAu3
Source: Alexandria
Functional: PBE-GGA
Structure: optimized geometry

Summary:
- Formation energy from the elements: 1.882 eV per atom
- E: -4.70 eV/atom

Cell lengths 4.900, 4.900, 4.900 Å; angles 90.00, 90.00, 90.00 degrees
Positions (direct):
Ta (0.000, 0.000, 0.000)
Os (0.500, 0.500, 0.500)
Au (0.000, 0.500, 0.500)
Au (0.500, 0.000, 0.500)
Au (0.500, 0.500, 0.000)

2.
Compound: Be2Si
Source: Alexandria
Functional: PBE-GGA
Structure: optimized geometry

Summary:
- Formation energy from raw total energies: 0.1822 eV per atom
- E: -4.11 eV/atom

Cell lengths 4.088, 4.095, 5.385 Å; angles 80.09, 67.73, 62.81 degrees
Positions (direct):
Be (0.000, 0.000, 0.000)
Be (0.001, 0.688, 0.384)
Be (0.097, 0.498, 0.806)
Be (0.495, 0.493, 0.001)
Si (0.605, 0.995, 0.787)
Si (0.667, 0.367, 0.377)

3.
Compound: PaClF6
Source: Alexandria
Functional: PBE-GGA
Structure: optimized geometry

Summary:
- Formation energy from raw total energies: -2.6747 eV per atom
- E: -5.50 eV/atom

Cell lengths 6.677, 6.677, 6.677 Å; angles 60.00, 60.00, 60.00 degrees
Positions (direct):
Pa (0.000, 0.000, 0.000)
Cl (0.500, 0.500, 0.500)
F (0.223, 0.223, 0.777)
F (0.223, 0.777, 0.223)
F (0.223, 0.777, 0.777)
F (0.777, 0.223, 0.223)
F (0.777, 0.223, 0.777)
F (0.777, 0.777, 0.223)

4.
Compound: CoBiI2
Source: Alexandria
Functional: PBE-GGA
Structure: optimized geometry

Summary:
- Formation energy from raw total energies: 0.4403 eV per atom
- E: -3.08 eV/atom

Cell lengths 7.408, 7.408, 9.432 Å; angles 90.00, 90.00, 90.00 degrees
Positions (direct):
Co (0.000, 0.000, 0.000)
Co (0.000, 0.500, 0.250)
Co (0.500, 0.000, 0.750)
Co (0.500, 0.500, 0.500)
Bi (0.000, 0.000, 0.500)
Bi (0.000, 0.500, 0.750)
Bi (0.500, 0.000, 0.250)
Bi (0.500, 0.500, 0.000)
I (0.171, 0.250, 0.125)
I (0.250, 0.671, 0.375)
I (0.250, 0.829, 0.875)
I (0.329, 0.250, 0.625)
I (0.671, 0.750, 0.625)
I (0.750, 0.171, 0.875)
I (0.750, 0.329, 0.375)
I (0.829, 0.750, 0.125)

5.
Compound: BaHS
Source: Alexandria
Functional: PBE-GGA
Structure: optimized geometry

Summary:
- E: -4.46 eV/atom

Cell lengths 5.261, 5.273, 6.398 Å; angles 89.78, 89.72, 65.80 degrees
Positions (direct):
Ba (0.176, 0.177, 0.250)
Ba (0.824, 0.823, 0.750)
H (0.470, 0.466, 0.540)
H (0.530, 0.534, 0.460)
S (0.176, 0.176, 0.754)
S (0.824, 0.824, 0.246)

6.
Compound: Dy2ZrO
Source: Alexandria
Functional: PBE-GGA
Structure: optimized geometry

Summary:
- Formation energy from raw total energies: -0.8966 eV per atom
- E: -6.57 eV/atom

Cell lengths 3.148, 3.148, 8.198 Å; angles 90.00, 90.00, 90.00 degrees
Positions (direct):
Dy (0.000, 0.000, 0.187)
Dy (0.000, 0.000, 0.813)
Zr (0.500, 0.500, 0.500)
O (0.500, 0.500, 0.000)

7.
Compound: CaSb2
Source: Alexandria
Functional: PBE-GGA
Structure: optimized geometry

Summary:
- Formation energy from raw total energies: -0.5210 eV per atom
- E: -3.94 eV/atom

Cell lengths 11.343, 5.356, 6.448 Å; angles 90.00, 114.24, 90.00 degrees
Positions (direct):
Ca (0.000, 0.000, 0.000)
Ca (0.186, 0.500, 0.486)
Ca (0.500, 0.500, 0.000)
Ca (0.686, 0.000, 0.486)
Sb (0.130, 0.500, 0.943)
Sb (0.335, 0.000, 0.246)
Sb (0.342, 0.000, 0.797)
Sb (0.482, 0.500, 0.480)
Sb (0.630, 0.000, 0.943)
Sb (0.835, 0.500, 0.246)
Sb (0.842, 0.500, 0.797)
Sb (0.982, 0.000, 0.480)

8.
Compound: CsRbCd2Rh
Source: Alexandria
Functional: PBE-GGA
Structure: optimized geometry

Summary:
- Formation energy from the elements: 0.114 eV per atom
- E: -2.09 eV/atom

Cell lengths 5.438, 5.438, 6.069 Å; angles 90.00, 90.00, 90.00 degrees
Positions (direct):
Cs (0.000, 0.000, 0.000)
Rb (0.500, 0.500, 0.000)
Cd (0.000, 0.500, 0.500)
Cd (0.500, 0.000, 0.500)
Rh (0.000, 0.000, 0.500)

9.
Compound: ScBP2
Source: Alexandria
Functional: PBE-GGA
Structure: optimized geometry

Summary:
- Formation energy from the elements: -0.544 eV per atom
- E: -6.50 eV/atom

Cell lengths 6.017, 6.017, 6.678 Å; angles 90.00, 90.00, 90.00 degrees
Positions (direct):
Sc (0.000, 0.000, 0.000)
Sc (0.000, 0.500, 0.250)
Sc (0.500, 0.000, 0.750)
Sc (0.500, 0.500, 0.500)
B (0.000, 0.000, 0.500)
B (0.000, 0.500, 0.750)
B (0.500, 0.000, 0.250)
B (0.500, 0.500, 0.000)
P (0.160, 0.250, 0.625)
P (0.250, 0.660, 0.875)
P (0.250, 0.840, 0.375)
P (0.340, 0.250, 0.125)
P (0.660, 0.750, 0.125)
P (0.750, 0.160, 0.375)
P (0.750, 0.340, 0.875)
P (0.840, 0.750, 0.625)

10.
Compound: Cu2HW
Source: Alexandria
Functional: PBE-GGA
Structure: optimized geometry

Summary:
- E: -4.90 eV/atom

Cell lengths 5.811, 5.811, 5.811 Å; angles 90.00, 90.00, 90.00 degrees
Positions (direct):
Cu (0.250, 0.250, 0.250)
Cu (0.250, 0.250, 0.750)
Cu (0.250, 0.750, 0.250)
Cu (0.250, 0.750, 0.750)
Cu (0.750, 0.250, 0.250)
Cu (0.750, 0.250, 0.750)
Cu (0.750, 0.750, 0.250)
Cu (0.750, 0.750, 0.750)
H (0.000, 0.000, 0.000)
H (0.000, 0.500, 0.500)
H (0.500, 0.000, 0.500)
H (0.500, 0.500, 0.000)
W (0.000, 0.000, 0.500)
W (0.000, 0.500, 0.000)
W (0.500, 0.000, 0.000)
W (0.500, 0.500, 0.500)

11.
Compound: AcLaNd
Source: Alexandria
Functional: PBE-GGA
Structure: optimized geometry

Summary:
- Formation energy from the elements: 0.027 eV per atom
- E: -4.57 eV/atom

Cell lengths 3.823, 3.823, 16.016 Å; angles 90.00, 90.00, 90.00 degrees
Positions (direct):
Ac (0.000, 0.000, 0.000)
Ac (0.500, 0.500, 0.500)
La (0.000, 0.000, 0.327)
La (0.500, 0.500, 0.827)
Nd (0.000, 0.000, 0.669)
Nd (0.500, 0.500, 0.169)

12.
Compound: ReMoAu2
Source: Alexandria
Functional: PBE-GGA
Structure: optimized geometry

Summary:
- Formation energy from the elements: 0.417 eV per atom
- E: -7.04 eV/atom

Cell lengths 9.711, 2.796, 4.898 Å; angles 90.00, 99.35, 90.00 degrees
Positions (direct):
Re (0.000, 0.000, 0.000)
Re (0.500, 0.500, 0.000)
Mo (0.000, 0.500, 0.500)
Mo (0.500, 0.000, 0.500)
Au (0.249, 0.500, 0.249)
Au (0.251, 0.000, 0.751)
Au (0.749, 0.000, 0.249)
Au (0.751, 0.500, 0.751)

13.
Compound: HfSe2F
Source: Alexandria
Functional: PBE-GGA
Structure: optimized geometry

Summary:
- Formation energy from raw total energies: -0.8337 eV per atom
- E: -5.53 eV/atom

Cell lengths 6.047, 6.047, 11.639 Å; angles 90.00, 90.00, 90.00 degrees
Positions (direct):
Hf (0.000, 0.000, 0.000)
Hf (0.000, 0.500, 0.250)
Hf (0.500, 0.000, 0.750)
Hf (0.500, 0.500, 0.500)
Se (0.234, 0.250, 0.125)
Se (0.250, 0.734, 0.375)
Se (0.250, 0.766, 0.875)
Se (0.266, 0.250, 0.625)
Se (0.734, 0.750, 0.625)
Se (0.750, 0.234, 0.875)
Se (0.750, 0.266, 0.375)
Se (0.766, 0.750, 0.125)
F (0.000, 0.000, 0.500)
F (0.000, 0.500, 0.750)
F (0.500, 0.000, 0.250)
F (0.500, 0.500, 0.000)

14.
Compound: RbTa2SnSb
Source: Alexandria
Functional: PBE-GGA
Structure: optimized geometry

Summary:
- Formation energy from raw total energies: 1.6608 eV per atom
- E: -4.90 eV/atom

Cell lengths 5.254, 5.254, 6.018 Å; angles 90.00, 90.00, 90.00 degrees
Positions (direct):
Rb (0.000, 0.000, 0.000)
Ta (0.000, 0.500, 0.500)
Ta (0.500, 0.000, 0.500)
Sn (0.000, 0.000, 0.500)
Sb (0.500, 0.500, 0.000)

15.
Compound: TiMn3Tc
Source: Alexandria
Functional: PBE-GGA
Structure: optimized geometry

Summary:
- Formation energy from the elements: 1.114 eV per atom
- E: -8.04 eV/atom

Cell lengths 4.510, 4.510, 4.510 Å; angles 90.00, 90.00, 90.00 degrees
Positions (direct):
Ti (0.000, 0.000, 0.000)
Mn (0.000, 0.500, 0.500)
Mn (0.500, 0.000, 0.500)
Mn (0.500, 0.500, 0.000)
Tc (0.500, 0.500, 0.500)

16.
Compound: MnTlSi2Se6
Source: Alexandria
Functional: PBE-GGA
Structure: optimized geometry

Summary:
- Formation energy from raw total energies: -0.3010 eV per atom
- E: -4.63 eV/atom

Cell lengths 9.568, 9.568, 7.305 Å; angles 111.61, 111.61, 81.98 degrees
Positions (direct):
Mn (0.185, 0.815, 0.750)
Mn (0.815, 0.185, 0.250)
Tl (0.206, 0.794, 0.250)
Tl (0.794, 0.206, 0.750)
Si (0.211, 0.359, 0.687)
Si (0.359, 0.211, 0.187)
Si (0.641, 0.789, 0.813)
Si (0.789, 0.641, 0.313)
Se (0.054, 0.159, 0.531)
Se (0.090, 0.589, 0.753)
Se (0.159, 0.054, 0.031)
Se (0.346, 0.398, 0.045)
Se (0.398, 0.346, 0.545)
Se (0.411, 0.910, 0.747)
Se (0.589, 0.090, 0.253)
Se (0.602, 0.654, 0.455)
Se (0.654, 0.602, 0.955)
Se (0.841, 0.946, 0.969)
Se (0.910, 0.411, 0.247)
Se (0.946, 0.841, 0.469)

17.
Compound: GaSi2I2
Source: Alexandria
Functional: PBE-GGA
Structure: optimized geometry

Summary:
- Formation energy from raw total energies: 0.4426 eV per atom
- E: -2.95 eV/atom

Cell lengths 5.942, 5.942, 8.022 Å; angles 90.00, 90.00, 90.00 degrees
Positions (direct):
Ga (0.000, 0.000, 0.000)
Ga (0.500, 0.500, 0.500)
Si (0.000, 0.000, 0.346)
Si (0.000, 0.000, 0.654)
Si (0.500, 0.500, 0.154)
Si (0.500, 0.500, 0.846)
I (0.000, 0.500, 0.250)
I (0.000, 0.500, 0.750)
I (0.500, 0.000, 0.250)
I (0.500, 0.000, 0.750)

18.
Compound: AlCr2As
Source: Alexandria
Functional: PBE-GGA
Structure: optimized geometry

Summary:
- Formation energy from the elements: 0.014 eV per atom
- E: -6.90 eV/atom

Cell lengths 2.915, 2.915, 7.063 Å; angles 90.00, 90.00, 90.00 degrees
Positions (direct):
Al (0.000, 0.000, 0.000)
Cr (0.000, 0.000, 0.604)
Cr (0.500, 0.500, 0.782)
As (0.500, 0.500, 0.387)

19.
Compound: P2PtCl2
Source: Alexandria
Functional: PBE-GGA
Structure: optimized geometry

Summary:
- Formation energy from raw total energies: -0.2041 eV per atom
- E: -4.31 eV/atom

Cell lengths 6.146, 6.146, 4.839 Å; angles 90.00, 90.00, 90.00 degrees
Positions (direct):
P (0.138, 0.362, 0.000)
P (0.362, 0.862, 0.000)
P (0.638, 0.138, 0.000)
P (0.862, 0.638, 0.000)
Pt (0.000, 0.000, 0.000)
Pt (0.500, 0.500, 0.000)
Cl (0.176, 0.324, 0.500)
Cl (0.324, 0.824, 0.500)
Cl (0.676, 0.176, 0.500)
Cl (0.824, 0.676, 0.500)

20.
Compound: MgBeZn3
Source: Alexandria
Functional: PBE-GGA
Structure: optimized geometry

Summary:
- Formation energy from the elements: 0.219 eV per atom
- E: -1.61 eV/atom

Cell lengths 4.359, 4.359, 4.359 Å; angles 90.00, 90.00, 90.00 degrees
Positions (direct):
Mg (0.000, 0.000, 0.000)
Be (0.500, 0.500, 0.500)
Zn (0.000, 0.500, 0.500)
Zn (0.500, 0.000, 0.500)
Zn (0.500, 0.500, 0.000)

| no. | magnetization (μB/f.u.) | ρ (Mg/m³) | DOS(E_F) (states/eV/cell) |
| --- | --- | --- | --- |
| 1 | 0.001 | 13.6 | 7.4 |
| 2 | 0.000 | 2.1 | 0.4 |
| 3 | 2.000 | 3.0 | 6.4 |
| 4 | 1.672 | 6.7 | 21.6 |
| 5 | 0.000 | 3.5 | 0.0 |
| 6 | 0.000 | 8.8 | 2.7 |
| 7 | 0.000 | 5.3 | 3.3 |
| 8 | 0.000 | 5.1 | 2.7 |
| 9 | 0.000 | 3.2 | 4.5 |
| 10 | 0.000 | 10.6 | 14.3 |
| 11 | 0.000 | 7.2 | 11.7 |
| 12 | 0.000 | 17.1 | 7.0 |
| 13 | 0.000 | 5.5 | 16.0 |
| 14 | 3.127 | 6.9 | 5.8 |
| 15 | 6.269 | 5.6 | 5.2 |
| 16 | 3.993 | 4.5 | 4.2 |
| 17 | 0.000 | 4.5 | 6.4 |
| 18 | 0.003 | 5.7 | 1.8 |
| 19 | 0.000 | 6.0 | 0.0 |
| 20 | 0.000 | 4.6 | 1.3 |